Entry from the Alexandria database: crystalline CaLaTl2 at its relaxed geometry (GGA-PBEsol).

```
CaLaTl2
1.0
3.9539 0.0000 0.0000
0.0000 5.4342 0.0000
0.0000 0.0000 5.4342
Tl La Ca
2 1 1
Direct
0.0000 0.0000 0.5000
0.0000 0.5000 0.0000
0.5000 0.5000 0.5000
0.5000 0.0000 0.0000
```

Values from the calculation:
DOS(E_F) (states/eV per atom): 0.661
Formation energy from the elements (meV per atom): -474
Uncorrected energy (eV/atom): -3.659
Crystal system: tetragonal
Magnetic moment (μB/cell): 0.00
SG: No. 123

Entry from the Alexandria database: crystalline LiAg at its relaxed geometry (GGA-PBEsol).

```
LiAg
1.0
2.8114 0.0000 0.0000
-1.4057 5.0822 0.0333
0.0000 -2.0371 6.5727
Ag Li
3 3
Direct
0.3216 0.6432 0.6624
0.3930 0.7860 0.2794
0.0071 0.0142 0.9990
0.0413 0.0825 0.6142
0.6718 0.3436 0.3303
0.7319 0.4638 0.9482
```

Values from the calculation:
DOS(E_F) (states/eV per atom): 0.311
Formation energy from the elements (meV per atom): -162
Uncorrected energy (eV/atom): -2.801
Crystal system: monoclinic
Magnetic moment (μB/cell): 0.00
SG: No. 8

Entry from the Alexandria database: crystalline Tb3ReB7 at its relaxed geometry (GGA-PBEsol).

```
Tb3ReB7
1.0
-2.5166 -1.0065 -2.2312
1.1858 -6.6476 4.4230
-6.4992 2.8597 6.0406
B Re Tb
14 2 6
Direct
0.4791 0.9581 0.4048
0.6324 0.2647 0.8495
0.2731 0.5461 0.0323
0.7269 0.4539 0.5323
0.3676 0.7353 0.3495
0.5422 0.0844 0.2500
0.2731 0.5461 0.4677
0.5209 0.0419 0.9048
0.4791 0.9581 0.0952
0.6324 0.2647 0.6505
0.5209 0.0419 0.5952
0.4578 0.9156 0.7500
0.3676 0.7353 0.1505
0.7269 0.4539 0.9677
0.9467 0.8933 0.2500
0.0533 0.1067 0.7500
0.8948 0.7895 0.5601
0.8948 0.7895 0.9399
0.7576 0.5151 0.2500
0.1052 0.2105 0.4399
0.2424 0.4849 0.7500
0.1052 0.2105 0.0601
```

Values from the calculation:
DOS(E_F) (states/eV per atom): 0.431
Formation energy from the elements (meV per atom): -658
Uncorrected energy (eV/atom): -7.701
Crystal system: orthorhombic
Magnetic moment (μB/cell): 0.00
SG: No. 63

Entry from the Alexandria database: crystalline Cs2RbRuF6 at its relaxed geometry (GGA-PBEsol).

```
Cs2RbRuF6
1.0
6.5160 0.0000 0.0000
3.2580 5.6430 0.0000
3.2580 1.8810 5.3203
F Cs Rb Ru
6 2 1 1
Direct
0.7835 0.2165 0.7835
0.7835 0.2165 0.2165
0.2165 0.7835 0.2165
0.7835 0.7835 0.2165
0.2165 0.2165 0.7835
0.2165 0.7835 0.7835
0.2500 0.2500 0.2500
0.7500 0.7500 0.7500
0.5000 0.5000 0.5000
0.0000 0.0000 0.0000
```

Values from the calculation:
DOS(E_F) (states/eV per atom): 1.096
Uncorrected energy (eV/atom): -4.832
Crystal system: cubic
Magnetic moment (μB/cell): 1.00
SG: No. 225

Entry from the Alexandria database: crystalline FeCu2Pb at its relaxed geometry (GGA-PBEsol).

```
FeCu2Pb
1.0
-0.9072 1.1047 2.7803
0.0360 -3.0715 1.2322
5.6089 0.6900 1.5561
Cu Fe Pb
2 1 1
Direct
0.0000 0.0000 0.2035
0.0000 0.0000 0.7965
0.5000 0.5000 0.0000
0.5000 0.5000 0.5000
```

Values from the calculation:
DOS(E_F) (states/eV per atom): 0.833
Formation energy from the elements (meV per atom): 412
Uncorrected energy (eV/atom): -4.996
Crystal system: orthorhombic
Magnetic moment (μB/cell): 2.82
SG: No. 47

Entry from the Alexandria database: crystalline Ga2S3O12 at its relaxed geometry (GGA-PBEsol).

```
Ga2S3O12
1.0
-6.9536 1.0098 4.0245
-1.2574 -3.9393 6.9620
0.2244 4.6335 7.3713
O S Ga
24 6 4
Direct
0.8430 0.4738 0.8948
0.3883 0.2048 0.4229
0.5400 0.1739 0.8007
0.7952 0.0159 0.5771
0.1291 0.2570 0.7313
0.7430 0.1174 0.2687
0.5262 0.2116 0.1052
0.8261 0.5147 0.1993
0.2116 0.1570 0.1052
0.8826 0.1291 0.7313
0.4600 0.8261 0.1993
0.4853 0.5400 0.8007
0.1570 0.5262 0.1052
0.1739 0.4853 0.8007
0.1174 0.8709 0.2687
0.2048 0.9841 0.4229
0.2570 0.8826 0.7313
0.0159 0.6117 0.5771
0.6117 0.7952 0.5771
0.9841 0.3883 0.4229
0.8709 0.7430 0.2687
0.5147 0.4600 0.1993
0.7884 0.8430 0.8948
0.4738 0.7884 0.8948
0.9606 0.5421 0.2483
0.4579 0.7511 0.7517
0.0394 0.4579 0.7517
0.5421 0.2489 0.2483
0.7511 0.0394 0.7517
0.2489 0.9606 0.2483
0.8558 0.8558 0.4325
0.6513 0.6513 0.0460
0.3487 0.3487 0.9540
0.1442 0.1442 0.5675
```

Values from the calculation:
DOS(E_F) (states/eV per atom): 0.000
Uncorrected energy (eV/atom): -6.388
Crystal system: trigonal
Magnetic moment (μB/cell): 0.00
SG: No. 148

Entry from the Alexandria database: crystalline SrCdIn at its relaxed geometry (GGA-PBEsol).

```
SrCdIn
1.0
-0.8060 -3.4937 1.3564
4.0098 0.2431 3.0087
-4.4540 1.6550 1.6162
In Sr Cd
1 1 1
Direct
0.8331 0.3333 0.6667
0.3332 0.6667 0.3333
0.8336 0.0000 0.0000
```

Values from the calculation:
DOS(E_F) (states/eV per atom): 0.415
Formation energy from the elements (meV per atom): -429
Uncorrected energy (eV/atom): -2.436
Crystal system: hexagonal
Magnetic moment (μB/cell): 0.00
SG: No. 187

Entry from the Alexandria database: crystalline TiPdS2Cl at its relaxed geometry (GGA-PBEsol).

```
TiPdS2Cl
1.0
4.5486 0.0000 0.0000
0.0000 4.6511 0.0000
0.0000 0.0000 4.6511
Ti S Cl Pd
1 2 1 1
Direct
0.5000 0.5000 0.5000
0.0000 0.5000 0.0000
0.0000 0.0000 0.5000
0.5000 0.0000 0.0000
0.0000 0.0000 0.0000
```

Values from the calculation:
DOS(E_F) (states/eV per atom): 1.241
Uncorrected energy (eV/atom): -4.900
Crystal system: tetragonal
Magnetic moment (μB/cell): 1.40
SG: No. 123

Entry from the Alexandria database: crystalline Sr2HPd at its relaxed geometry (GGA-PBEsol).

```
Sr2HPd
1.0
-2.6470 -3.9404 4.2154
2.9880 -3.1510 -4.6311
4.4883 3.6268 2.6467
Pd Sr H
2 4 2
Direct
0.0000 0.0000 0.0000
0.5000 0.7500 0.2500
0.5611 0.3750 0.4361
0.9389 0.5639 0.1250
0.4389 0.8750 0.8139
0.0611 0.1861 0.6250
0.5000 0.2500 0.7500
0.0000 0.5000 0.5000
```

Values from the calculation:
DOS(E_F) (states/eV per atom): 0.571
Uncorrected energy (eV/atom): -3.516
Crystal system: tetragonal
Magnetic moment (μB/cell): 0.00
SG: No. 122

Entry from the Alexandria database: crystalline LiY2Cd at its relaxed geometry (GGA-PBEsol).

```
LiY2Cd
1.0
3.3498 0.0000 0.0000
0.0000 4.9004 0.0000
-1.6749 0.0000 6.0373
Li Cd Y
1 1 2
Direct
0.5624 0.5000 0.1248
0.6915 0.0000 0.3830
0.2907 0.5000 0.5814
0.9647 0.0000 0.9295
```

Values from the calculation:
DOS(E_F) (states/eV per atom): 0.861
Formation energy from the elements (meV per atom): -108
Uncorrected energy (eV/atom): -4.310
Crystal system: orthorhombic
Distance to the lowest polymorph of the same formula (eV/atom): 0.046
Magnetic moment (μB/cell): 0.00
SG: No. 38

Entry from the Alexandria database: crystalline BaNi2Ir at its relaxed geometry (GGA-PBEsol).

```
BaNi2Ir
1.0
-1.8181 -2.6041 -2.7098
0.2752 -1.0409 4.0318
-4.4017 3.9498 -0.8426
Ba Ni Ir
1 2 1
Direct
0.4972 0.9943 0.4918
0.3190 0.6380 0.9571
0.0030 0.0061 0.0088
0.6808 0.3616 0.0423
```

Values from the calculation:
DOS(E_F) (states/eV per atom): 1.199
Formation energy from the elements (meV per atom): -33
Uncorrected energy (eV/atom): -6.105
Crystal system: trigonal
Distance to the lowest polymorph of the same formula (eV/atom): 0.020
Magnetic moment (μB/cell): 0.31
SG: No. 160

Entry from the Alexandria database: crystalline Re5Pt at its relaxed geometry (GGA-PBEsol).

```
Re5Pt
1.0
-1.7710 -1.8986 -0.9201
2.3273 -3.1470 2.0144
-3.1104 1.7974 6.4015
Re Pt
5 1
Direct
0.3339 0.0000 0.6678
0.7769 0.5000 0.5537
0.6687 0.0000 0.3374
0.4434 0.5000 0.8867
0.1118 0.5000 0.2236
0.9987 0.0000 0.9974
```

Values from the calculation:
DOS(E_F) (states/eV per atom): 0.713
Formation energy from the elements (meV per atom): -84
Uncorrected energy (eV/atom): -12.355
Crystal system: orthorhombic
Magnetic moment (μB/cell): 0.00
SG: No. 38

Q: Which value of magnetic moment does entry 10 give?
A: 0.00 μB/cell